Entry 1:
AlAuNO2, relaxed, DFT PBE; total magnetic moment = 0.08 μB per atom; raw formation energy = 4.18 eV/f.u.
1.0
-1.1141 3.8587 0.5376
-0.3017 -0.6429 3.9894
3.8458 1.0464 0.4595
N O Au Al
1 2 1 1
Cartesian
1.9229 0.5232 0.2298 N
-0.5571 1.9293 0.2688 O
-0.1509 -0.3214 1.9947 O
0.0000 0.0000 0.0000 Au
1.2150 2.1311 2.4932 Al

Entry 2:
NaGa2I2, relaxed, DFT PBE; total magnetic moment = 0.00 μB per atom; E above lowest polymorph = 0.00 eV/f.u.; raw formation energy = -2.40 eV/f.u.
1.0
-0.7285 -3.9339 0.1944
1.8099 -0.1588 3.5698
-7.7314 -0.3034 6.1535
Ga I Na
2 2 1
Cartesian
-2.6904 -1.2543 5.8027 Ga
-3.9596 -3.1418 4.1150 Ga
-1.1625 -1.6875 2.7616 I
-5.4875 -2.7086 7.1561 I
0.0000 0.0000 0.0000 Na

Entry 3:
NdErAlPd, relaxed, DFT PBE; energy of formation = -524 meV/atom; total magnetic moment = 0.00 μB per atom
1.0
5.1244 0.0000 0.0000
2.5622 4.4379 0.0000
2.5622 1.4793 4.1841
Pd Al Er Nd
1 1 1 1
Cartesian
0.0000 0.0000 0.0000 Pd
5.1244 2.9586 2.0920 Al
2.5622 1.4793 1.0460 Er
7.6867 4.4379 3.1381 Nd

Entry 4:
Th8Te4PC3, relaxed, DFT PBE; total magnetic moment = 0.00 μB per atom; raw formation energy = -14.99 eV/f.u.
1.0
-3.0400 6.6810 -3.2374
0.8447 -3.4806 -7.9762
-4.2594 -4.1424 5.3908
Th C P Te
8 3 1 4
Cartesian
-4.2782 1.8435 -2.1180 Th
-3.5817 0.5886 -5.3618 Th
-5.6367 -1.5820 -2.6839 Th
-0.8179 0.6400 -3.1389 Th
-4.1955 -4.7492 -1.1491 Th
-2.8729 -1.5306 -0.4610 Th
-2.1764 -2.7855 -3.7048 Th
-2.2591 3.8072 -4.6737 Th
-1.7073 -3.8115 -1.2927 C
-1.0976 1.6002 -5.6068 C
-3.2273 -0.4710 -2.9114 C
0.4224 -1.7403 -3.9881 P
0.0000 0.0000 0.0000 Te
-2.1297 -2.0712 2.6954 Te
-3.6497 1.2693 1.0767 Te
-1.5200 3.3405 -1.6187 Te

Entry 5:
NaNiP, relaxed, DFT PBE; energy of formation = -380 meV/atom; total magnetic moment = 0.00 μB per atom
1.0
-5.7768 2.3855 0.3144
-3.6453 0.3978 -4.6596
-0.3519 -3.6247 -0.0329
Na Ni P
2 2 2
Cartesian
-2.7023 -2.5857 -2.6104 Na
-5.5686 1.3569 -3.0454 Na
-1.1396 -0.9255 -0.5977 Ni
-4.4548 1.2211 -0.3089 Ni
-3.2945 -0.7204 -0.3733 P
-5.9554 -0.4618 -0.4115 P

Entry 6:
LiReNi2N, relaxed, DFT PBE; total magnetic moment = 0.15 μB per atom; raw formation energy = 0.46 eV/f.u.
1.0
3.8037 0.0000 0.0000
0.0000 3.8037 0.0000
0.0000 0.0000 3.9466
Re N Ni Li
1 1 2 1
Cartesian
0.0000 0.0000 1.9733 Re
0.0000 0.0000 0.0000 N
0.0000 1.9018 0.0000 Ni
1.9018 0.0000 0.0000 Ni
1.9018 1.9018 1.9733 Li

Entry 7:
Na2LiTm, relaxed, DFT PBE; energy of formation = 240 meV/atom; total magnetic moment = 0.00 μB per atom
1.0
-1.7612 -1.5924 2.3719
1.3417 -0.4990 3.0355
-4.7924 10.1733 5.6460
Na Tm Li
2 1 1
Cartesian
-1.6807 0.8553 6.4494 Na
-3.5312 7.2266 4.6041 Na
0.0000 0.0000 0.0000 Tm
-2.6059 4.0409 5.5268 Li

Entry 8:
BaZnTe2I, relaxed, DFT PBE; total magnetic moment = 0.60 μB per atom; E above lowest polymorph = 3.71 eV/f.u.; raw formation energy = -0.02 eV/f.u.
1.0
-4.8392 2.0625 4.5443
-4.8505 -3.4328 -3.6072
1.1331 -5.4848 3.6960
Ba Te I Zn
1 2 1 1
Cartesian
0.0000 0.0000 0.0000 Ba
-2.4252 -1.7164 -1.8036 Te
-2.4196 1.0313 2.2722 Te
0.5665 -2.7424 1.8480 I
-4.2783 -3.4276 2.3165 Zn

Entry 9:
Li2Sb2Te, relaxed, DFT PBE; total magnetic moment = 0.00 μB per atom; E above lowest polymorph = 0.10 eV/f.u.; raw formation energy = -1.26 eV/f.u.
1.0
8.6866 0.0000 0.0000
0.0000 8.6866 0.0000
0.0000 0.0000 3.2423
Li Te Sb
4 2 4
Cartesian
5.9155 1.5723 0.0000 Li
7.1143 5.9155 0.0000 Li
2.7710 7.1143 0.0000 Li
1.5723 2.7710 0.0000 Li
0.0000 0.0000 0.0000 Te
4.3433 4.3433 0.0000 Te
0.9834 5.3266 1.6212 Sb
7.7032 3.3599 1.6212 Sb
5.3266 7.7032 1.6212 Sb
3.3599 0.9834 1.6212 Sb

Entry 10:
TbHo3Rh, relaxed, DFT PBE; energy of formation = -231 meV/atom; total magnetic moment = 0.00 μB per atom; E above lowest polymorph = 0.35 eV/f.u.
1.0
5.3808 0.0000 0.0000
0.0000 5.3808 0.0000
0.0000 0.0000 5.3808
Ho Tb Rh
3 1 1
Cartesian
2.6904 0.0000 0.0000 Ho
0.0000 2.6904 0.0000 Ho
0.0000 0.0000 2.6904 Ho
2.6904 2.6904 2.6904 Tb
0.0000 0.0000 0.0000 Rh

Entry 11:
TaReW2, relaxed, DFT PBE; energy of formation = 865 meV/atom; total magnetic moment = 0.00 μB per atom; E above lowest polymorph = 4.06 eV/f.u.
1.0
7.3229 0.0000 0.0000
0.0000 7.3229 0.0000
3.6615 3.6615 2.6752
Re W Ta
2 4 2
Cartesian
7.3229 3.6615 1.3376 Re
0.0000 0.0000 0.0000 Re
5.6514 1.8307 0.6688 W
9.1537 9.3129 2.0064 W
5.4922 5.3330 2.0064 W
1.6715 5.4922 0.6688 W
3.6615 7.3229 1.3376 Ta
3.6615 3.6615 0.0000 Ta

Entry 12:
SmHBr4, relaxed, DFT PBE; total magnetic moment = 0.00 μB per atom; final energy = -3.71 eV/atom
1.0
7.5997 0.9292 2.7401
-4.1494 6.5015 2.5763
-0.5930 0.9292 8.0565
Br H Sm
8 2 2
Cartesian
4.4131 3.3049 6.7997 Br
3.8905 2.5660 2.8597 Br
1.0271 2.5658 4.7181 Br
-1.5395 6.2131 10.2555 Br
2.0989 7.3050 12.2044 Br
1.8015 6.2130 8.0879 Br
-0.1454 2.4713 8.7464 Br
-1.7797 5.4060 6.2273 Br
2.3400 2.7512 3.6071 H
-0.8665 1.3586 7.6353 H
4.2590 6.1633 6.5621 Sm
3.4232 1.0551 5.2739 Sm

Entry 13:
Ni2AgRh, relaxed, DFT PBE; energy of formation = 236 meV/atom; total magnetic moment = 0.45 μB per atom
1.0
5.1871 -0.0037 0.0025
2.5801 4.4999 -0.0025
-3.3037 -3.2498 2.3303
Rh Ag Ni
1 1 2
Cartesian
4.0340 2.3352 0.0000 Rh
1.5146 1.7113 1.1639 Ag
7.6184 4.4101 0.0000 Ni
2.9472 -0.4659 1.1664 Ni

Entry 14:
SmDy4Er2, relaxed, DFT PBE; energy of formation = 133 meV/atom; total magnetic moment = 0.00 μB per atom; E above lowest polymorph = 0.69 eV/f.u.
1.0
-4.7611 1.1132 3.6650
-2.9680 -5.3633 -2.2266
7.3212 -6.5786 6.0874
Dy Sm Er
8 2 4
Cartesian
0.5410 -9.6085 3.4446 Dy
-0.8032 -8.4396 7.0732 Dy
1.9868 -6.9959 4.5293 Dy
-0.9488 -1.2203 4.0812 Dy
0.2427 -6.6791 1.4385 Dy
0.3953 -2.3892 0.4526 Dy
-2.3946 -3.8329 2.9966 Dy
-0.6505 -4.1497 6.0873 Dy
1.6242 -6.0776 7.6990 Sm
-2.0320 -4.7512 -0.1731 Sm
1.1082 -3.9462 3.2528 Er
4.6851 -7.4546 6.9358 Er
-5.0929 -3.3742 0.5900 Er
-1.5160 -6.8826 4.2730 Er

Entry 15:
AcSnPt2, relaxed, DFT PBE; energy of formation = -848 meV/atom; total magnetic moment = 0.00 μB per atom
1.0
-2.1822 -3.7425 0.9553
2.4186 -2.1795 -3.0135
13.9513 -4.4542 14.4189
Pt Ac Sn
8 4 4
Cartesian
1.4702 -4.4253 -0.1018 Pt
11.1995 -7.5231 9.0700 Pt
11.0353 -7.0295 11.8091 Pt
6.2058 -6.1466 7.0036 Pt
3.2358 -2.9322 3.5468 Pt
5.7125 -4.1641 3.1976 Pt
1.2540 -2.0816 -1.5963 Pt
8.3019 -4.5412 7.8991 Pt
8.8549 -7.7057 7.2137 Ac
3.7377 -5.1431 5.6331 Ac
13.7980 -6.3021 10.1879 Ac
1.7052 -1.5124 1.3979 Ac
7.5555 -4.8056 5.0633 Sn
10.1798 -5.0996 9.7567 Sn
3.2567 -5.0369 1.8278 Sn
12.8567 -7.5580 13.7306 Sn

Entry 16:
HgIrPt4, relaxed, DFT PBE; energy of formation = 421 meV/atom; total magnetic moment = 0.14 μB per atom
1.0
0.0000 3.7301 3.7301
3.7301 0.0000 3.7301
3.7301 3.7301 0.0000
Ir Pt Hg
1 4 1
Cartesian
0.0000 0.0000 0.0000 Ir
4.6664 4.6664 2.7938 Pt
4.6664 2.7938 4.6664 Pt
2.7938 4.6664 4.6664 Pt
2.7938 2.7938 2.7938 Pt
5.5952 5.5952 5.5952 Hg

Entry 17:
ReSiOs2, relaxed, DFT PBE; total magnetic moment = 0.00 μB per atom; raw formation energy = 1.19 eV/f.u.
1.0
-2.9351 -1.9836 -2.4598
0.7944 -3.9471 -1.5458
-2.1657 -3.3960 1.5419
Si Os Re
1 2 1
Cartesian
-1.0766 -2.3317 -0.6159 Si
0.0000 0.0000 0.0000 Os
-3.2298 -6.9950 -1.8478 Os
-2.1532 -4.6633 -1.2319 Re

Entry 18:
PrGa2As, relaxed, DFT PBE; energy of formation = -575 meV/atom; total magnetic moment = 0.00 μB per atom
1.0
4.5273 0.0000 0.0000
0.0000 4.3973 0.0000
0.0000 0.0000 4.3973
Ga As Pr
2 1 1
Cartesian
0.0000 2.1987 0.0000 Ga
0.0000 0.0000 2.1987 Ga
2.2636 2.1987 2.1987 As
2.2636 0.0000 0.0000 Pr

Entry 19:
CrCu2, relaxed, DFT PBE; energy of formation = 326 meV/atom; total magnetic moment = 1.18 μB per atom
1.0
1.7718 -5.6786 0.0000
1.7718 5.6786 0.0000
0.0000 0.0000 3.8717
Cr Cu
2 4
Cartesian
1.7718 4.6783 0.9679 Cr
1.7718 -4.6783 2.9038 Cr
1.7718 -2.8781 0.9679 Cu
1.7718 -0.9509 2.9038 Cu
1.7718 0.9509 0.9679 Cu
1.7718 2.8781 2.9038 Cu

Entry 20:
SmClO, relaxed, DFT PBE; total magnetic moment = 0.00 μB per atom; raw formation energy = -8.68 eV/f.u.
1.0
-1.2172 -2.6388 2.6879
-2.8434 -0.2779 -4.4752
5.7357 -3.9709 -1.3011
O Cl Sm
2 2 2
Cartesian
1.2340 -2.1004 -1.5032 O
0.4412 -4.7872 -1.5851 O
-1.8113 -1.8322 -2.6189 Cl
3.4866 -5.0555 -0.4695 Cl
2.0215 -3.7577 -2.7736 Sm
-0.3463 -3.1300 -0.3148 Sm

Entry 21:
BaLi2Ir2, relaxed, DFT PBE; energy of formation = 226 meV/atom; total magnetic moment = 0.00 μB per atom; E above lowest polymorph = 0.29 eV/f.u.
1.0
7.8398 0.0000 0.0000
0.0000 7.8398 0.0000
0.0000 0.0000 2.9849
Ba Ir Li
2 4 4
Cartesian
0.0000 0.0000 0.0000 Ba
3.9199 3.9199 0.0000 Ba
3.0166 6.9364 0.0000 Ir
4.8232 0.9033 0.0000 Ir
6.9364 4.8232 0.0000 Ir
0.9033 3.0166 0.0000 Ir
6.5621 2.6422 1.4924 Li
1.2777 5.1976 1.4924 Li
2.6422 1.2777 1.4924 Li
5.1976 6.5621 1.4924 Li

Entry 22:
CrSi2Hg, relaxed, DFT PBE; total magnetic moment = 0.88 μB per atom; raw formation energy = 2.67 eV/f.u.
1.0
4.6261 0.0000 0.0000
2.3131 4.0063 0.0000
2.3131 1.3354 3.7772
Si Cr Hg
2 1 1
Cartesian
0.0000 0.0000 0.0000 Si
6.9392 4.0063 2.8329 Si
4.6261 2.6709 1.8886 Cr
2.3131 1.3354 0.9443 Hg

Entry 23:
BaLiW, relaxed, DFT PBE; energy of formation = 2011 meV/atom; total magnetic moment = 1.02 μB per atom; E above lowest polymorph = 2.76 eV/f.u.
1.0
-3.7485 -3.2149 1.6793
1.2645 -4.5630 2.1878
-0.7143 -0.7264 5.1155
Li W Ba
1 1 1
Cartesian
0.0000 0.0000 0.0000 Li
-1.5992 -4.2522 4.4913 W
-0.7996 -2.1261 2.2457 Ba

Entry 24:
ErGe6Se8, relaxed, DFT PBE; total magnetic moment = 0.00 μB per atom; raw formation energy = -6.53 eV/f.u.
1.0
-5.6691 1.3462 4.8892
-5.3219 -5.0099 -2.1056
0.7654 -5.5818 5.1101
Ge Se Er
6 8 1
Cartesian
-5.1536 -3.2119 1.1374 Ge
-3.7858 -1.8318 4.5256 Ge
-8.0576 -4.2463 4.9823 Ge
-5.0721 -6.0337 6.7563 Ge
-2.1681 -4.9992 2.9115 Ge
-6.4398 -7.4137 3.3681 Ge
-6.2567 -1.3147 4.0096 Se
-7.3522 -6.6476 5.6756 Se
-3.9690 -7.9309 3.8841 Se
-1.9677 -4.8088 5.4731 Se
-8.2579 -4.4368 2.4206 Se
-4.8782 -5.7233 0.6318 Se
-2.8734 -2.5980 2.2181 Se
-5.3475 -3.5223 7.2619 Se
0.0000 0.0000 0.0000 Er

Entry 25:
LaZn2Re, relaxed, DFT PBE; energy of formation = 330 meV/atom; total magnetic moment = 0.00 μB per atom; E above lowest polymorph = 0.48 eV/f.u.
1.0
3.0263 -1.2317 3.4838
-1.1460 -3.5114 3.0281
2.3052 -4.1780 -0.2056
La Re Zn
1 1 2
Cartesian
0.0000 0.0000 0.0000 La
2.0928 -4.4605 3.1532 Re
1.0464 -2.2303 1.5766 Zn
3.1392 -6.6908 4.7298 Zn